KRb2Rh: relaxed, PBE. Values from VASP.

Geometry as Quantum ESPRESSO input:
```
&SYSTEM
  ibrav = 0, nat = 8, ntyp = 3
/
ATOMIC_SPECIES
K 39.10 K.upf
Rh 102.91 Rh.upf
Rb 85.47 Rb.upf
ATOMIC_POSITIONS angstrom
K -2.785 -1.597 -5.527
K -3.292 -6.773 -7.471
Rh 0.000 0.000 0.000
Rh -8.159 -2.846 -6.153
Rb -7.885 -0.264 -5.170
Rb -6.884 -3.013 -8.614
Rb -7.015 -4.651 -4.380
Rb -10.852 -3.456 -6.448
CELL_PARAMETERS angstrom
-7.651 2.331 -4.209
2.082 -5.524 -6.844
-5.882 -6.426 -2.571
```

Results
Energy above the most stable polymorph in this dataset (meV per atom): 106
Total moment (Bohr magnetons per cell): 0.00
Formation enthalpy at 0 K (eV/atom): 0.7289